[1]
First-principles (PBE) data for HfTi2CoH after structural relaxation, as listed in Alexandria via LeMat-Bulk.

Unit cell a=4.190 b=4.190 c=3.782 alpha=90.00 beta=90.00 gamma=90.00
Space group P4/mmm (No. 123)
Symmetry-distinct sites (fractional):
Hf (0.000, 0.000, 0.000) [1 per cell]
Ti (0.000, 0.500, 0.500) [2 per cell]
Co (0.500, 0.500, 0.000) [1 per cell]
H (0.500, 0.500, 0.500) [1 per cell]

Computed properties:
electronic total energy: -36.6 eV/cell
M_tot: 0.00 μB/cell
energy above the most stable polymorph in this dataset: 52 meV/atom

---

[2]
First-principles (PBE) data for Lu2MnPt after structural relaxation, as listed in Alexandria via LeMat-Bulk.

Unit cell a=3.452 b=3.452 c=6.750 alpha=90.00 beta=90.00 gamma=90.00
Space group P4/mmm (No. 123)
Symmetry-distinct sites (fractional):
Lu (0.000, 0.000, 0.246) [2 per cell]
Mn (0.500, 0.500, 0.500) [1 per cell]
Pt (0.500, 0.500, 0.000) [1 per cell]

Computed properties:
electronic total energy: -26.6 eV/cell
M_tot: 2.85 μB/cell
DFT formation energy: -2.38 eV/f.u.
energy above the most stable polymorph in this dataset: 0 meV/atom

---

[3]
First-principles (PBE) data for Sc3AsPb after structural relaxation, as listed in Alexandria via LeMat-Bulk.

Unit cell a=5.353 b=5.353 c=5.353 alpha=90.00 beta=90.00 gamma=90.00
Space group Pm-3m (No. 221)
Symmetry-distinct sites (fractional):
Sc (0.000, 0.000, 0.500) [3 per cell]
As (0.500, 0.500, 0.500) [1 per cell]
Pb (0.000, 0.000, 0.000) [1 per cell]

Computed properties:
electronic total energy: -25.3 eV/cell
M_tot: 0.01 μB/cell
DFT formation energy: 2.02 eV/f.u.
energy above the most stable polymorph in this dataset: 1043 meV/atom

---

[4]
First-principles (PBE) data for CrCoIr2 after structural relaxation, as listed in Alexandria via LeMat-Bulk.

Unit cell a=2.671 b=2.671 c=7.266 alpha=90.00 beta=90.00 gamma=90.00
Space group P4mm (No. 99)
Symmetry-distinct sites (fractional):
Cr (0.000, 0.000, 0.000) [1 per cell]
Co (0.500, 0.500, 0.772) [1 per cell]
Ir (0.000, 0.000, 0.527) [1 per cell]
Ir (0.500, 0.500, 0.247) [1 per cell]

Computed properties:
electronic total energy: -34.3 eV/cell
M_tot: 0.85 μB/cell
DFT formation energy: 0.12 eV/f.u.

---

[5]
First-principles (PBE) data for TmZrOsPt after structural relaxation, as listed in Alexandria via LeMat-Bulk.

Unit cell a=6.721 b=6.721 c=6.721 alpha=90.00 beta=90.00 gamma=90.00
Space group F-43m (No. 216)
Symmetry-distinct sites (fractional):
Tm (0.000, 0.000, 0.000) [4 per cell]
Zr (0.000, 0.000, 0.500) [4 per cell]
Os (0.250, 0.250, 0.250) [4 per cell]
Pt (0.250, 0.250, 0.750) [4 per cell]

Computed properties:
electronic total energy: -132.5 eV/cell
M_tot: 0.00 μB/cell
DFT formation energy: -2.84 eV/f.u.

---

[6]
First-principles (PBE) data for Pm4Ga3 after structural relaxation, as listed in Alexandria via LeMat-Bulk.

Unit cell a=16.895 b=4.069 c=5.867 alpha=90.00 beta=97.26 gamma=90.00
Space group C2/m (No. 12)
Symmetry-distinct sites (fractional):
Pm (0.089, 0.000, 0.332) [4 per cell]
Pm (0.164, 0.500, 0.852) [4 per cell]
Ga (0.000, 0.500, 0.000) [2 per cell]
Ga (0.231, 0.500, 0.363) [4 per cell]

Computed properties:
electronic total energy: -61.8 eV/cell
M_tot: 0.00 μB/cell
DFT formation energy: -2.84 eV/f.u.
energy above the most stable polymorph in this dataset: 44 meV/atom

---

[7]
First-principles (PBE) data for Sr4LiTi3O12 after structural relaxation, as listed in Alexandria via LeMat-Bulk.

Unit cell a=7.932 b=7.932 c=7.932 alpha=90.00 beta=90.00 gamma=90.00
Space group Im-3m (No. 229)
Symmetry-distinct sites (fractional):
Sr (0.250, 0.250, 0.250) [8 per cell]
Li (0.000, 0.000, 0.000) [2 per cell]
Ti (0.000, 0.000, 0.500) [6 per cell]
O (0.000, 0.000, 0.260) [12 per cell]
O (0.000, 0.250, 0.500) [12 per cell]

Computed properties:
electronic total energy: -290.1 eV/cell
M_tot: 6.09 μB/cell
raw formation energy: -2.66 eV per atom

---

[8]
First-principles (PBE) data for Li2GeTe after structural relaxation, as listed in Alexandria via LeMat-Bulk.

Unit cell a=7.667 b=7.667 c=5.920 alpha=90.00 beta=90.00 gamma=90.00
Space group I-42d (No. 122)
Symmetry-distinct sites (fractional):
Li (0.242, 0.250, 0.125) [8 per cell]
Ge (0.000, 0.000, 0.500) [4 per cell]
Te (0.000, 0.000, 0.000) [4 per cell]

Computed properties:
electronic total energy: -49.8 eV/cell
M_tot: 0.00 μB/cell
raw formation energy: -0.22 eV per atom
energy above the most stable polymorph in this dataset: 196 meV/atom

---

[9]
First-principles (PBE) data for LaCrTc4 after structural relaxation, as listed in Alexandria via LeMat-Bulk.

Unit cell a=7.558 b=7.558 c=7.558 alpha=90.00 beta=90.00 gamma=90.00
Space group F-43m (No. 216)
Symmetry-distinct sites (fractional):
La (0.000, 0.000, 0.000) [4 per cell]
Cr (0.250, 0.250, 0.250) [4 per cell]
Tc (0.124, 0.124, 0.624) [16 per cell]

Computed properties:
electronic total energy: -214.3 eV/cell
M_tot: 11.49 μB/cell
DFT formation energy: 2.44 eV/f.u.

---

[10]
First-principles (PBE) data for LaBeSn after structural relaxation, as listed in Alexandria via LeMat-Bulk.

Unit cell a=4.0473 b=4.0473 c=37.0930 alpha=90.00 beta=90.00 gamma=120.00
Space group R3m (No. 160, hexagonal axes)
Symmetry-distinct sites (fractional):
La (0.0000, 0.0000, 0.0000) [3 per cell]
La (0.0000, 0.0000, 0.1503) [3 per cell]
Be (0.0000, 0.0000, 0.0746) [3 per cell]
Be (0.0000, 0.0000, 0.5352) [3 per cell]
Sn (0.0000, 0.0000, 0.4077) [3 per cell]
Sn (0.0000, 0.0000, 0.5999) [3 per cell]

Computed properties:
electronic total energy: -70.6 eV/cell
M_tot: 1.92 μB/cell
DFT formation energy: 0.89 eV/f.u.

---

[11]
First-principles (PBE) data for Pu3TcRh after structural relaxation, as listed in Alexandria via LeMat-Bulk.

Unit cell a=8.787 b=9.636 c=5.394 alpha=90.00 beta=111.74 gamma=90.00
Space group C2/m (No. 12)
Symmetry-distinct sites (fractional):
Pu (0.036, 0.000, 0.272) [4 per cell]
Pu (0.179, 0.330, 0.188) [8 per cell]
Tc (0.188, 0.500, 0.761) [4 per cell]
Rh (0.000, 0.277, 0.500) [4 per cell]

Computed properties:
electronic total energy: -243.2 eV/cell
M_tot: 58.79 μB/cell
DFT formation energy: -0.10 eV/f.u.

---

[12]
First-principles (PBE) data for TaZn2I after structural relaxation, as listed in Alexandria via LeMat-Bulk.

Unit cell a=7.863 b=7.863 c=5.622 alpha=90.00 beta=90.00 gamma=90.00
Space group I-42d (No. 122)
Symmetry-distinct sites (fractional):
Ta (0.000, 0.000, 0.000) [4 per cell]
Zn (0.219, 0.250, 0.125) [8 per cell]
I (0.000, 0.000, 0.500) [4 per cell]

Computed properties:
electronic total energy: -50.8 eV/cell
M_tot: 0.00 μB/cell
raw formation energy: 0.81 eV per atom
energy above the most stable polymorph in this dataset: 0 meV/atom

---

[13]
First-principles (PBE) data for AlSi2Pd6 after structural relaxation, as listed in Alexandria via LeMat-Bulk.

Unit cell a=5.639 b=6.387 c=8.818 alpha=90.00 beta=120.65 gamma=90.00
Space group P2_1/c (No. 14)
Symmetry-distinct sites (fractional):
Al (0.000, 0.000, 0.000) [2 per cell]
Si (0.188, 0.124, 0.747) [4 per cell]
Pd (0.128, 0.145, 0.441) [4 per cell]
Pd (0.299, 0.702, 0.422) [4 per cell]
Pd (0.441, 0.055, 0.266) [4 per cell]

Computed properties:
electronic total energy: -101.7 eV/cell
M_tot: 0.00 μB/cell
raw formation energy: -0.57 eV per atom

---

[14]
First-principles (PBE) data for TlMoRh2 after structural relaxation, as listed in Alexandria via LeMat-Bulk.

Unit cell a=9.466 b=2.921 c=4.853 alpha=90.00 beta=100.56 gamma=90.00
Space group Cm (No. 8)
Symmetry-distinct sites (fractional):
Tl (0.000, 0.000, 0.000) [2 per cell]
Mo (0.261, 0.500, 0.322) [2 per cell]
Rh (0.247, 0.000, 0.784) [2 per cell]
Rh (0.499, 0.000, 0.494) [2 per cell]

Computed properties:
electronic total energy: -54.3 eV/cell
M_tot: 0.00 μB/cell
DFT formation energy: 0.74 eV/f.u.
energy above the most stable polymorph in this dataset: 192 meV/atom

---

[15]
First-principles (PBE) data for La2InAs4Rh3 after structural relaxation, as listed in Alexandria via LeMat-Bulk.

Unit cell a=4.395 b=4.395 c=10.469 alpha=90.00 beta=90.00 gamma=90.00
Space group P-4m2 (No. 115)
Symmetry-distinct sites (fractional):
La (0.000, 0.500, 0.231) [2 per cell]
In (0.000, 0.000, 0.500) [1 per cell]
As (0.000, 0.000, 0.000) [1 per cell]
As (0.000, 0.500, 0.655) [2 per cell]
As (0.500, 0.500, 0.000) [1 per cell]
Rh (0.000, 0.500, 0.888) [2 per cell]
Rh (0.500, 0.500, 0.500) [1 per cell]

Computed properties:
electronic total energy: -61.6 eV/cell
M_tot: 0.00 μB/cell
DFT formation energy: -8.38 eV/f.u.

---

[16]
First-principles (PBE) data for TiGaGe2 after structural relaxation, as listed in Alexandria via LeMat-Bulk.

Unit cell a=2.9489 b=2.9489 c=28.3479 alpha=90.00 beta=90.00 gamma=120.00
Space group R-3m (No. 166, hexagonal axes)
Symmetry-distinct sites (fractional):
Ti (0.0000, 0.0000, 0.0000) [3 per cell]
Ga (0.0000, 0.0000, 0.5000) [3 per cell]
Ge (0.0000, 0.0000, 0.4080) [6 per cell]

Computed properties:
electronic total energy: -61.9 eV/cell
M_tot: 0.00 μB/cell
DFT formation energy: -0.48 eV/f.u.

---

[17]
First-principles (PBE) data for B5C7 after structural relaxation, as listed in Alexandria via LeMat-Bulk.

Unit cell a=3.571 b=2.607 c=8.201 alpha=90.00 beta=98.76 gamma=90.00
Space group Pm (No. 6)
Symmetry-distinct sites (fractional):
B (0.000, 0.000, 0.000) [1 per cell]
B (0.016, 0.000, 0.209) [1 per cell]
B (0.383, 0.500, 0.197) [1 per cell]
B (0.509, 0.500, 0.856) [1 per cell]
B (0.757, 0.500, 0.081) [1 per cell]
C (0.164, 0.000, 0.540) [1 per cell]
C (0.241, 0.000, 0.859) [1 per cell]
C (0.410, 0.500, 0.538) [1 per cell]
C (0.611, 0.500, 0.387) [1 per cell]
C (0.716, 0.500, 0.695) [1 per cell]
C (0.856, 0.000, 0.384) [1 per cell]
C (0.963, 0.000, 0.693) [1 per cell]

Computed properties:
electronic total energy: -93.6 eV/cell
M_tot: 0.00 μB/cell
DFT formation energy: 4.32 eV/f.u.
energy above the most stable polymorph in this dataset: 102 meV/atom